## NaAcHf (GGA-PBE)

Data for a relaxed structure of NaAcHf.

The energy above the most stable polymorph in this dataset is 165.1 meV per atom. Its crystal system is cubic.

The structure belongs to space group F-43m (No. 216); the cell edges are 7.636, 7.636 and 7.636 Å and the angles 90.00°, 90.00° and 90.00°. The inequivalent atoms are Na at (0.000, 0.000, 0.000), Ac at (0.250, 0.250, 0.750) and Hf at (0.000, 0.000, 0.500).

=====

## AcHfNb (GGA-PBE)

Data for a relaxed structure of AcHfNb.

The formation energy comes out at 0.831 eV per atom. Its crystal system is cubic.

The structure belongs to space group F-43m (No. 216); the cell edges are 6.969, 6.969 and 6.969 Å and the angles 90.00°, 90.00° and 90.00°. The inequivalent atoms are Ac at (0.000, 0.000, 0.000), Hf at (0.000, 0.000, 0.500) and Nb at (0.250, 0.250, 0.250).

=====

## AcNd2Hf2 (GGA-PBE)

Data for a relaxed structure of AcNd2Hf2.

The formation energy comes out at 0.455 eV per atom. Its crystal system is tetragonal.

The structure belongs to space group I4/mmm (No. 139); the cell edges are 4.460, 4.460 and 15.836 Å and the angles 90.00°, 90.00° and 90.00°. The inequivalent atoms are Ac at (0.000, 0.000, 0.000), Nd at (0.000, 0.000, 0.398) and Hf at (0.000, 0.500, 0.250).

=====

## AcNdHf (GGA-PBE)

Data for a relaxed structure of AcNdHf.

The energy above the most stable polymorph in this dataset is 0.0 meV per atom. The formation energy comes out at 0.807 eV per atom. Its crystal system is cubic.

The structure belongs to space group F-43m (No. 216); the cell edges are 7.673, 7.673 and 7.673 Å and the angles 90.00°, 90.00° and 90.00°. The inequivalent atoms are Ac at (0.000, 0.000, 0.000), Nd at (0.000, 0.000, 0.500) and Hf at (0.250, 0.250, 0.250).

=====

## AcHfNp (GGA-PBE)

Data for a relaxed structure of AcHfNp.

The energy above the most stable polymorph in this dataset is 0.0 meV per atom. The formation energy comes out at 1.177 eV per atom. Its crystal system is cubic.

The structure belongs to space group F-43m (No. 216); the cell edges are 7.377, 7.377 and 7.377 Å and the angles 90.00°, 90.00° and 90.00°. The inequivalent atoms are Ac at (0.000, 0.000, 0.000), Hf at (0.250, 0.250, 0.250) and Np at (0.000, 0.000, 0.500).

=====

## AcHfO3 (GGA-PBE)

Data for a relaxed structure of AcHfO3.

The value obtained for the total DFT energy (no corrections) is -42.3 eV/cell. Its crystal system is tetragonal.

The structure belongs to space group P4mm (No. 99); the cell edges are 3.608, 3.608 and 6.031 Å and the angles 90.00°, 90.00° and 90.00°. The inequivalent atoms are Ac at (0.000, 0.000, 0.000), Hf at (0.500, 0.500, 0.446), O at (0.000, 0.000, 0.621) and O at (0.000, 0.500, 0.277).

=====

## Ac2Hf2O5 (GGA-PBE)

Data for a relaxed structure of Ac2Hf2O5.

The energy above the most stable polymorph in this dataset is 1296.3 meV per atom. Its crystal system is tetragonal.

The structure belongs to space group P4/mmm (No. 123); the cell edges are 3.953, 3.953 and 10.142 Å and the angles 90.00°, 90.00° and 90.00°. The inequivalent atoms are Ac at (0.000, 0.000, 0.249), Hf at (0.500, 0.500, 0.000), Hf at (0.500, 0.500, 0.500), O at (0.000, 0.000, 0.000) and O at (0.000, 0.500, 0.133).

=====

## AcHf2O4 (GGA-PBE)

Data for a relaxed structure of AcHf2O4.

The value obtained for the total DFT energy (no corrections) is -506.2 eV/cell. Its crystal system is cubic.

The structure belongs to space group Fd-3m (No. 227, origin choice 2); the cell edges are 9.495, 9.495 and 9.495 Å and the angles 90.00°, 90.00° and 90.00°. The inequivalent atoms are Ac at (0.125, 0.125, 0.125), Hf at (0.000, 0.000, 0.500) and O at (0.021, 0.021, 0.729).

=====

## AcHfO3 (GGA-PBE)

Data for a relaxed structure of AcHfO3.

The value obtained for the total DFT energy (no corrections) is -267.9 eV/cell. Its crystal system is trigonal.

The structure belongs to space group R-3 (No. 148, hexagonal axes); the cell edges are 5.5444, 5.5444 and 16.5789 Å and the angles 90.00°, 90.00° and 120.00°. The inequivalent atoms are Ac at (0.0000, 0.0000, 0.1238), Hf at (0.0000, 0.0000, 0.3400) and O at (0.0104, 0.5159, 0.9165).

=====

## Ac2Hf2O5 (GGA-PBE)

Data for a relaxed structure of Ac2Hf2O5.

The energy above the most stable polymorph in this dataset is 0.0 meV per atom. Its crystal system is tetragonal.

The structure belongs to space group P4/mmm (No. 123); the cell edges are 4.181, 4.181 and 7.689 Å and the angles 90.00°, 90.00° and 90.00°. The inequivalent atoms are Ac at (0.000, 0.000, 0.000), Ac at (0.000, 0.000, 0.500), Hf at (0.500, 0.500, 0.222), O at (0.000, 0.500, 0.256) and O at (0.500, 0.500, 0.500).

=====

## AcHfPO (GGA-PBE)

Data for a relaxed structure of AcHfPO.

The energy above the most stable polymorph in this dataset is 250.4 meV per atom. Its crystal system is orthorhombic.

The structure belongs to space group Pmc2_1 (No. 26); the cell edges are 4.355, 7.159 and 6.204 Å and the angles 90.00°, 90.00° and 90.00°. The inequivalent atoms are Ac at (0.000, 0.211, 0.000), Hf at (0.500, 0.386, 0.552), P at (0.000, 0.209, 0.497) and O at (0.500, 0.367, 0.883).

=====

## AcHfPO (GGA-PBE)

Data for a relaxed structure of AcHfPO.

The energy above the most stable polymorph in this dataset is 828.1 meV per atom. Its crystal system is tetragonal.

The structure belongs to space group P4/nmm (No. 129, origin choice 2); the cell edges are 4.486, 4.486 and 8.679 Å and the angles 90.00°, 90.00° and 90.00°. The inequivalent atoms are Ac at (0.250, 0.750, 0.000), Hf at (0.250, 0.250, 0.480), P at (0.250, 0.250, 0.767) and O at (0.250, 0.750, 0.500).